Record 1
First-principles (PBE) data for Pr4Si3Ge after structural relaxation, as listed in OQMD via LeMat-Bulk.

Results
final energy = -5.760 eV per atom
V = 200 Å³ per cell
space group = No. 8

a b c (Å): 7.0868 7.0868 6.6054
angles (deg): 90.23 90.23 37.01
With the nearest neighbours (Å) after each atom.
Element x y z (fractional)
Ge  0.0954  0.0954  0.9417  2 Si 2.55-2.70
Pr  0.5502  0.5502  0.2508  6 Si 3.07-3.23, 2 Ge 3.10
Pr  0.2761  0.2761  0.2524  5 Si 3.10-3.18, 1 Ge 3.17
Pr  0.7255  0.7255  0.7464  2 Ge 3.13, 4 Si 3.14-3.19
Pr  0.4484  0.4484  0.7509  6 Si 3.10-3.24, 2 Ge 3.25
Si  0.9039  0.9039  0.0633  1 Si 2.48, 1 Ge 2.70
Si  0.9081  0.9081  0.4391  2 Si 2.48-2.59
Si  0.0924  0.0924  0.5554  1 Ge 2.55, 1 Si 2.59

Record 2
First-principles (PBE) data for NaLuMgSe3 after structural relaxation, as listed in OQMD via LeMat-Bulk.

Results
final energy = -4.419 eV per atom
V = 633 Å³ per cell
space group = No. 62

a b c (Å): 13.8728 4.1095 11.0979
angles (deg): 90.00 90.00 90.00
With the nearest neighbours (Å) after each atom.
Element x y z (fractional)
Lu  0.9765  0.2500  0.1495  5 Se 2.75-2.83
Lu  0.4765  0.2500  0.3505  5 Se 2.75-2.83
Lu  0.5235  0.7500  0.6495  5 Se 2.75-2.83
Lu  0.0235  0.7500  0.8505  5 Se 2.75-2.83
Mg  0.4858  0.7500  0.1007  4 Se 2.51-2.64
Mg  0.9858  0.7500  0.3993  4 Se 2.51-2.64
Mg  0.0142  0.2500  0.6007  4 Se 2.51-2.64
Mg  0.5142  0.2500  0.8993  4 Se 2.51-2.64
Na  0.2592  0.2500  0.0606  4 Se 2.98-3.30
Na  0.7592  0.2500  0.4394  4 Se 2.98-3.30
Na  0.2408  0.7500  0.5606  4 Se 2.98-3.30
Na  0.7408  0.7500  0.9394  4 Se 2.98-3.30
Se  0.1039  0.7500  0.0770  3 Lu 2.75-2.83, 2 Na 2.98
Se  0.5952  0.2500  0.1141  3 Mg 2.56-2.64
Se  0.8565  0.7500  0.2408  1 Mg 2.51
Se  0.3565  0.7500  0.2592  1 Mg 2.51
Se  0.0952  0.2500  0.3859  3 Mg 2.56-2.64
Se  0.6039  0.7500  0.4230  3 Lu 2.75-2.83, 2 Na 2.98
Se  0.3961  0.2500  0.5770  3 Lu 2.75-2.83, 2 Na 2.98
Se  0.9048  0.7500  0.6141  3 Mg 2.56-2.64
Se  0.6435  0.2500  0.7408  1 Mg 2.51
Se  0.1435  0.2500  0.7592  1 Mg 2.51
Se  0.4048  0.7500  0.8859  3 Mg 2.56-2.64
Se  0.8961  0.2500  0.9230  3 Lu 2.75-2.83, 2 Na 2.98

Record 3
First-principles (PBE) data for HoErAg2 after structural relaxation, as listed in OQMD via LeMat-Bulk.

Results
V = 191 Å³ per cell
space group = No. 26
E_form = -1.209 eV per formula unit

a b c (Å): 4.7799 5.5495 7.1995
angles (deg): 90.00 90.00 90.00
With the nearest neighbours (Å) after each atom.
Element x y z (fractional)
Ag  0.0000  0.0959  0.0344  3 Er 2.99-3.02, 2 Ag 2.99, 4 Ho 3.07-3.11
Ag  0.5000  0.5935  0.4657  3 Ho 2.98-3.03, 2 Ag 2.99, 4 Er 3.06-3.11
Ag  0.0000  0.9041  0.5344  3 Er 2.99-3.02, 2 Ag 2.99, 4 Ho 3.07-3.11
Ag  0.5000  0.4065  0.9657  3 Ho 2.98-3.03, 2 Ag 2.99, 4 Er 3.06-3.11
Er  0.0000  0.5953  0.1889  7 Ag 2.99-3.11
Er  0.0000  0.4047  0.6889  7 Ag 2.99-3.11
Ho  0.5000  0.0945  0.3110  7 Ag 2.98-3.11
Ho  0.5000  0.9055  0.8110  7 Ag 2.98-3.11

Record 4
First-principles (PBE) data for LiLuSiPt after structural relaxation, as listed in OQMD via LeMat-Bulk.

Results
final energy = -5.329 eV per atom
V = 64 Å³ per cell
space group = No. 216

a b c (Å): 4.4942 4.4942 4.4942
angles (deg): 60.00 60.00 60.00
With the nearest neighbours (Å) after each atom.
Element x y z (fractional)
Li  0.7500  0.7500  0.7500  4 Lu 2.75, 4 Si 2.75
Lu  0.5000  0.5000  0.5000  4 Li 2.75, 4 Pt 2.75
Pt  0.2500  0.2500  0.2500  4 Si 2.75, 4 Lu 2.75
Si  0.0000  0.0000  0.0000  4 Li 2.75, 4 Pt 2.75

Record 5
First-principles (PBE) data for Tb2Cl3 after structural relaxation, as listed in OQMD via LeMat-Bulk.

Results
final energy = -4.798 eV per atom
V = 274 Å³ per cell
space group = No. 12

a b c (Å): 8.1123 8.1123 10.3815
angles (deg): 118.83 118.83 27.52
With the nearest neighbours (Å) after each atom.
Element x y z (fractional)
Cl  0.2248  0.2248  0.1185  3 Tb 2.73-2.79
Cl  0.9577  0.9577  0.2611  3 Tb 2.71-2.75
Cl  0.3387  0.3387  0.4934  3 Tb 2.79-2.84
Cl  0.6612  0.6612  0.5066  3 Tb 2.79-2.84
Cl  0.0423  0.0423  0.7389  3 Tb 2.71-2.75
Cl  0.7752  0.7752  0.8815  3 Tb 2.73-2.79
Tb  0.4145  0.4145  0.0484  4 Cl 2.75-2.79
Tb  0.1387  0.1387  0.2907  5 Cl 2.71-2.84
Tb  0.8613  0.8613  0.7093  5 Cl 2.71-2.84
Tb  0.5855  0.5855  0.9516  4 Cl 2.75-2.79

Record 6
First-principles (PBE) data for ZnTePtO after structural relaxation, as listed in OQMD via LeMat-Bulk.

Results
final energy = -3.968 eV per atom
V = 153 Å³ per cell
space group = No. 5

a b c (Å): 3.4837 3.4837 12.5708
angles (deg): 90.27 90.27 88.68
With the nearest neighbours (Å) after each atom.
Element x y z (fractional)
O  0.4140  0.9122  0.1232  1 Te 2.02
O  0.0878  0.5860  0.8768  1 Te 2.02
Pt  0.9980  0.4981  0.3487  1 Te 2.55, 4 Zn 2.58
Pt  0.5019  0.0020  0.6513  1 Te 2.55, 4 Zn 2.58
Te  0.0120  0.5137  0.1463  1 O 2.02
Te  0.4863  0.9880  0.8537  1 O 2.02
Zn  0.9998  0.0002  0.5000  4 Zn 2.43-2.49, 4 Pt 2.58
Zn  0.5003  0.4997  0.5000  4 Zn 2.43-2.49, 4 Pt 2.58

Record 7
First-principles (PBE) data for YErMg2 after structural relaxation, as listed in OQMD via LeMat-Bulk.

Results
final energy = -3.517 eV per atom
V = 220 Å³ per cell
space group = No. 40

a b c (Å): 5.4585 6.8855 6.8855
angles (deg): 121.69 90.00 90.00
With the nearest neighbours (Å) after each atom.
Element x y z (fractional)
Er  0.2500  0.6741  0.3438  8 Mg 3.31-3.49, 4 Y 3.43-3.47
Er  0.7500  0.3438  0.6741  8 Mg 3.31-3.49, 4 Y 3.43-3.47
Mg  0.7500  0.8320  0.1797  4 Er 3.34-3.38, 4 Y 3.34-3.46, 4 Mg 3.34-3.55
Mg  0.7500  0.8314  0.6645  2 Y 3.28-3.43, 4 Er 3.31-3.49, 6 Mg 3.34-3.55
Mg  0.2500  0.6645  0.8314  2 Y 3.28-3.43, 4 Er 3.31-3.49, 6 Mg 3.34-3.55
Mg  0.2500  0.1797  0.8320  4 Er 3.34-3.38, 4 Y 3.34-3.46, 4 Mg 3.34-3.55
Y  0.7500  0.3173  0.1571  6 Mg 3.28-3.46, 2 Y 3.34, 4 Er 3.43-3.47
Y  0.2500  0.1571  0.3173  6 Mg 3.28-3.46, 2 Y 3.34, 4 Er 3.43-3.47

Record 8
First-principles (PBE) data for MgBeFeSi after structural relaxation, as listed in OQMD via LeMat-Bulk.

Results
final energy = -4.617 eV per atom
V = 46 Å³ per cell
space group = No. 216

a b c (Å): 4.0353 4.0353 4.0353
angles (deg): 60.00 60.00 60.00
With the nearest neighbours (Å) after each atom.
Element x y z (fractional)
Be  0.2500  0.2500  0.2500  4 Mg 2.47, 4 Si 2.47
Fe  0.7500  0.7500  0.7500  4 Si 2.47, 4 Mg 2.47
Mg  0.5000  0.5000  0.5000  4 Be 2.47, 4 Fe 2.47
Si  0.0000  0.0000  0.0000  4 Fe 2.47, 4 Be 2.47

Record 9
First-principles (PBE) data for ZrScNb after structural relaxation, as listed in OQMD via LeMat-Bulk.

Results
V = 72 Å³ per cell
space group = No. 216
E_form = 2.256 eV per formula unit

a b c (Å): 4.6784 4.6784 4.6784
angles (deg): 60.00 60.00 60.00
With the nearest neighbours (Å) after each atom.
Element x y z (fractional)
Nb  0.0000  0.0000  0.0000  4 Sc 2.86, 4 Zr 2.86
Sc  0.2500  0.2500  0.2500  4 Nb 2.86
Zr  0.7500  0.7500  0.7500  4 Nb 2.86

Record 10
First-principles (PBE) data for LuCuSnAu after structural relaxation, as listed in OQMD via LeMat-Bulk.

Results
final energy = -4.238 eV per atom
V = 80 Å³ per cell
space group = No. 216

a b c (Å): 4.8281 4.8281 4.8281
angles (deg): 60.00 60.00 60.00
With the nearest neighbours (Å) after each atom.
Element x y z (fractional)
Au  0.5000  0.5000  0.5000  4 Cu 2.96, 4 Lu 2.96
Cu  0.7500  0.7500  0.7500  4 Au 2.96, 4 Sn 2.96
Lu  0.2500  0.2500  0.2500  4 Au 2.96, 4 Sn 2.96
Sn  0.0000  0.0000  0.0000  4 Cu 2.96, 4 Lu 2.96

Record 11
First-principles (PBE) data for DyErLu6 after structural relaxation, as listed in OQMD via LeMat-Bulk.

Results
V = 236 Å³ per cell
space group = No. 187
E_form = -0.001 eV per formula unit

a b c (Å): 7.0426 7.0426 5.4896
angles (deg): 90.00 90.00 120.00
With the nearest neighbours (Å) after each atom.
Element x y z (fractional)
Dy  0.0000  0.0000  0.0000  12 Lu 3.42-3.52
Er  0.3333  0.6667  0.5000  12 Lu 3.42-3.52
Lu  0.5009  0.0017  0.0000  8 Lu 3.41-3.54, 2 Er 3.42, 2 Dy 3.52
Lu  0.9983  0.4991  0.0000  8 Lu 3.41-3.54, 2 Er 3.42, 2 Dy 3.52
Lu  0.5009  0.4991  0.0000  8 Lu 3.41-3.54, 2 Er 3.42, 2 Dy 3.52
Lu  0.3351  0.1675  0.5000  8 Lu 3.41-3.54, 2 Dy 3.42, 2 Er 3.52
Lu  0.8325  0.1675  0.5000  8 Lu 3.41-3.54, 2 Dy 3.42, 2 Er 3.52
Lu  0.8325  0.6649  0.5000  8 Lu 3.41-3.54, 2 Dy 3.42, 2 Er 3.52

Record 12
First-principles (PBE) data for NdPuPd after structural relaxation, as listed in OQMD via LeMat-Bulk.

Results
V = 87 Å³ per cell
space group = No. 216
E_form = -0.808 eV per formula unit

a b c (Å): 4.9663 4.9663 4.9663
angles (deg): 60.00 60.00 60.00
With the nearest neighbours (Å) after each atom.
Element x y z (fractional)
Nd  0.7500  0.7500  0.7500  4 Pd 3.04
Pd  0.0000  0.0000  0.0000  4 Nd 3.04, 4 Pu 3.04
Pu  0.2500  0.2500  0.2500  4 Pd 3.04

Record 13
First-principles (PBE) data for Cd2CoSiP4 after structural relaxation, as listed in OQMD via LeMat-Bulk.

Results
final energy = -4.544 eV per atom
V = 166 Å³ per cell
space group = No. 82

a b c (Å): 6.6492 6.6492 6.6492
angles (deg): 130.43 130.43 72.72
With the nearest neighbours (Å) after each atom.
Element x y z (fractional)
Cd  0.0000  0.0000  0.0000  4 P 2.61
Cd  0.7500  0.2500  0.5000  4 P 2.58
Co  0.5000  0.5000  0.0000  4 P 2.14
P  0.1889  0.6175  0.0493  1 Co 2.14, 1 Si 2.27
P  0.8604  0.8111  0.4286  1 Co 2.14, 1 Si 2.27
P  0.3825  0.4318  0.5714  1 Co 2.14, 1 Si 2.27
P  0.5682  0.1396  0.9507  1 Co 2.14, 1 Si 2.27
Si  0.2500  0.7500  0.5000  4 P 2.27

Record 14
First-principles (PBE) data for NpFe3 after structural relaxation, as listed in OQMD via LeMat-Bulk.

Results
V = 50 Å³ per cell
space group = No. 221
E_form = 0.167 eV per formula unit

a b c (Å): 3.6911 3.6911 3.6911
angles (deg): 90.00 90.00 90.00
With the nearest neighbours (Å) after each atom.
Element x y z (fractional)
Fe  0.5000  0.5000  0.0000  8 Fe 2.61, 4 Np 2.61
Fe  0.5000  0.0000  0.5000  8 Fe 2.61, 4 Np 2.61
Fe  0.0000  0.5000  0.5000  8 Fe 2.61, 4 Np 2.61
Np  0.0000  0.0000  0.0000  12 Fe 2.61

Record 15
First-principles (PBE) data for Rb2Hg2PdBr4Cl4 after structural relaxation, as listed in OQMD via LeMat-Bulk.

Results
final energy = -2.596 eV per atom
V = 425 Å³ per cell
space group = No. 12

a b c (Å): 7.0017 7.0017 10.2949
angles (deg): 105.84 105.84 62.62
With the nearest neighbours (Å) after each atom.
Element x y z (fractional)
Br  0.8948  0.3724  0.1357  1 Pd 2.47
Br  0.3724  0.8948  0.1357  1 Pd 2.47
Br  0.6276  0.1052  0.8643  1 Pd 2.47
Br  0.1052  0.6276  0.8643  1 Pd 2.47
Cl  0.9238  0.9238  0.3163  1 Hg 2.37
Cl  0.3401  0.3401  0.4977  1 Hg 2.37
Cl  0.6599  0.6599  0.5023  1 Hg 2.37
Cl  0.0762  0.0762  0.6837  1 Hg 2.37
Hg  0.1327  0.1327  0.3951  2 Cl 2.37
Hg  0.8673  0.8673  0.6049  2 Cl 2.37
Pd  0.0000  0.0000  0.0000  4 Br 2.47
Rb  0.4005  0.4005  0.1844  4 Cl 3.52-3.86, 6 Br 3.53-3.71
Rb  0.5995  0.5995  0.8156  4 Cl 3.52-3.86, 6 Br 3.53-3.71

Record 16
First-principles (PBE) data for HoTm3Ge2C2 after structural relaxation, as listed in OQMD via LeMat-Bulk.

Results
final energy = -6.231 eV per atom
V = 160 Å³ per cell
space group = No. 156

a b c (Å): 3.5406 3.5406 14.7837
angles (deg): 90.00 90.00 120.00
With the nearest neighbours (Å) after each atom.
Element x y z (fractional)
C  0.6667  0.3333  0.5003  6 Tm 2.43-2.44
C  0.6667  0.3333  0.9989  3 Tm 2.44, 3 Ho 2.45
Ge  0.3333  0.6667  0.2514  3 Tm 3.12, 3 Ho 3.14
Ge  0.0000  0.0000  0.7497  6 Tm 3.12-3.13
Ho  0.0000  0.0000  0.0903  3 C 2.45
Tm  0.0000  0.0000  0.4106  3 C 2.44
Tm  0.3333  0.6667  0.5897  3 C 2.43
Tm  0.3333  0.6667  0.9092  3 C 2.44

Record 17
First-principles (PBE) data for MgFe2Cl8 after structural relaxation, as listed in OQMD via LeMat-Bulk.

Results
final energy = -4.030 eV per atom
V = 319 Å³ per cell
space group = No. 12

a b c (Å): 7.4187 7.4187 6.0388
angles (deg): 94.18 94.18 74.29
With the nearest neighbours (Å) after each atom.
Element x y z (fractional)
Cl  0.7146  0.0950  0.2233  1 Fe 2.25, 1 Mg 2.50
Cl  0.0950  0.7146  0.2233  1 Fe 2.25, 1 Mg 2.50
Cl  0.6328  0.6328  0.2441  1 Fe 2.14
Cl  0.1781  0.1781  0.2697  1 Fe 2.22
Cl  0.8219  0.8219  0.7303  1 Fe 2.22
Cl  0.3672  0.3672  0.7559  1 Fe 2.14
Cl  0.9050  0.2854  0.7767  1 Fe 2.25, 1 Mg 2.50
Cl  0.2854  0.9050  0.7767  1 Fe 2.25, 1 Mg 2.50
Fe  0.8090  0.8090  0.3605  4 Cl 2.14-2.25
Fe  0.1910  0.1910  0.6395  4 Cl 2.14-2.25
Mg  0.0000  0.0000  0.0000  6 Cl 2.50-2.54

Record 18
First-principles (PBE) data for PrNpMo after structural relaxation, as listed in OQMD via LeMat-Bulk.

Results
V = 78 Å³ per cell
space group = No. 216
E_form = 2.655 eV per formula unit

a b c (Å): 4.7983 4.7983 4.7983
angles (deg): 60.00 60.00 60.00
With the nearest neighbours (Å) after each atom.
Element x y z (fractional)
Mo  0.0000  0.0000  0.0000  4 Np 2.94, 4 Pr 2.94
Np  0.2500  0.2500  0.2500  4 Mo 2.94
Pr  0.7500  0.7500  0.7500  4 Mo 2.94

Record 19
First-principles (PBE) data for HoZrCd2Cu4 after structural relaxation, as listed in OQMD via LeMat-Bulk.

Results
V = 137 Å³ per cell
space group = No. 123
E_form = -1.495 eV per formula unit

a b c (Å): 4.6064 4.6064 6.4500
angles (deg): 90.00 90.00 90.00
With the nearest neighbours (Å) after each atom.
Element x y z (fractional)
Cd  0.5000  0.5000  0.0000  8 Cu 2.87
Cd  0.0000  0.0000  0.5000  8 Cu 2.76
Cu  0.5000  0.0000  0.2644  2 Zr 2.76, 4 Cd 2.76-2.87, 2 Ho 2.87, 1 Cu 3.04
Cu  0.0000  0.5000  0.2644  2 Zr 2.76, 4 Cd 2.76-2.87, 2 Ho 2.87, 1 Cu 3.04
Cu  0.5000  0.0000  0.7356  2 Zr 2.76, 4 Cd 2.76-2.87, 2 Ho 2.87, 1 Cu 3.04
Cu  0.0000  0.5000  0.7356  2 Zr 2.76, 4 Cd 2.76-2.87, 2 Ho 2.87, 1 Cu 3.04
Ho  0.0000  0.0000  0.0000  8 Cu 2.87
Zr  0.5000  0.5000  0.5000  8 Cu 2.76

Record 20
First-principles (PBE) data for DyYHf after structural relaxation, as listed in OQMD via LeMat-Bulk.

Results
V = 99 Å³ per cell
space group = No. 216
E_form = 2.605 eV per formula unit

a b c (Å): 5.1853 5.1853 5.1853
angles (deg): 60.00 60.00 60.00
With the nearest neighbours (Å) after each atom.
Element x y z (fractional)
Dy  0.2500  0.2500  0.2500  4 Hf 3.18
Hf  0.0000  0.0000  0.0000  4 Y 3.18, 4 Dy 3.18
Y  0.7500  0.7500  0.7500  4 Hf 3.18